Computed, not measured: an optimized crystal structure of LaNdSe4 at the PBE-GGA level of DFT.

```
LaNdSe4
1.0
4.1902 0.0000 0.0000
0.0000 4.1902 0.0000
0.0000 0.0000 8.6416
La Nd Se
1 1 4
direct
0.0000 0.0000 0.0000
0.5000 0.5000 0.4520
0.0000 0.0000 0.3599
0.0000 0.5000 0.7228
0.5000 0.0000 0.7228
0.5000 0.5000 0.0946
```

Summary:
**Crystal system**: tetragonal
**Size of the total moment**: 0.00 μB/cell
**DFT total energy**: -5.614 eV/atom

Computed, not measured: an optimized crystal structure of ErZn2Au2 at the PBE-GGA level of DFT.

```
ErZn2Au2
1.0
-2.1122 2.1122 5.4338
2.1122 -2.1122 5.4338
2.1122 2.1122 -5.4338
Er Zn Au
1 2 2
direct
0.0000 0.0000 0.0000
0.3915 0.3915 0.0000
0.6085 0.6085 0.0000
0.2500 0.7500 0.5000
0.7500 0.2500 0.5000
```

Summary:
**Crystal system**: tetragonal
**Size of the total moment**: 0.00 μB/cell
**ΔH_f (0 K)**: -0.419 eV per atom
**DFT total energy**: -3.144 eV/atom